1.
The following is a PBE calculation of a relaxed structure of Cu3CI, from the Alexandria database.

The structure in POSCAR format:
```
Cu3CI
1.0
-0.6889 -4.4067 -2.1045
2.8850 1.3476 -3.7661
3.9402 -1.7572 2.3896
Cu C I
3 1 1
Cartesian
1.4425 0.6738 -1.8830 Cu
1.9701 -0.8786 1.1948 Cu
-0.3444 -2.2033 -1.0523 Cu
3.0681 -2.4081 -1.7405 C
0.0000 0.0000 0.0000 I
```

Fermi-level density of states: 1.65 states/eV/cell
Offset from the most stable computed form: 1.463 eV/atom
Symmetry: Pm-3m (221)

=====

2.
The following is a PBE calculation of a relaxed structure of CuC3I, from the Alexandria database.

The structure in POSCAR format:
```
CuC3I
1.0
-1.7174 3.6301 -0.2511
-1.9135 -1.1371 -3.3519
-3.0950 -1.3113 2.2117
C Cu I
3 1 1
Cartesian
-0.9568 -0.5686 -1.6759 C
-1.5475 -0.6556 1.1059 C
-0.8587 1.8150 -0.1255 C
0.0000 0.0000 0.0000 Cu
-3.3629 0.5908 -0.6956 I
```

Fermi-level density of states: 4.17 states/eV/cell
Offset from the most stable computed form: 0.000 eV/atom
Symmetry: Pm-3m (221)

=====

3.
The following is a PBE calculation of a relaxed structure of Cu3CI, from the Alexandria database.

The structure in POSCAR format:
```
Cu3CI
1.0
4.1602 0.0000 0.0000
0.0000 4.1602 0.0000
0.0000 0.0000 4.1602
C Cu I
1 3 1
Cartesian
0.0000 0.0000 0.0000 C
2.0801 0.0000 0.0000 Cu
0.0000 0.0000 2.0801 Cu
0.0000 2.0801 0.0000 Cu
2.0801 2.0801 2.0801 I
```

Fermi-level density of states: 3.41 states/eV/cell
Offset from the most stable computed form: 0.000 eV/atom
Symmetry: Pm-3m (221)

=====

4.
The following is a PBE calculation of a relaxed structure of CuC3I, from the Alexandria database.

The structure in POSCAR format:
```
CuC3I
1.0
-2.4490 -1.8961 -2.7904
2.8194 0.7433 -2.9796
1.8527 -3.6376 0.8456
C I Cu
3 1 1
Cartesian
0.9264 -1.8188 0.4228 C
-1.2245 -0.9480 -1.3952 C
1.4097 0.3717 -1.4898 C
0.0000 0.0000 0.0000 I
1.1116 -2.3951 -2.4622 Cu
```

Fermi-level density of states: 5.73 states/eV/cell
Offset from the most stable computed form: 0.685 eV/atom
Symmetry: Pm-3m (221)

=====

Which of these has the highest offset from the most stable computed form?
number 1

=====

Number 3 is which compound?
Cu3CI

=====

What did the third record say?
The following is a PBE calculation of a relaxed structure of Cu3CI, from the Alexandria database.

The structure in POSCAR format:
```
Cu3CI
1.0
4.1602 0.0000 0.0000
0.0000 4.1602 0.0000
0.0000 0.0000 4.1602
C Cu I
1 3 1
Cartesian
0.0000 0.0000 0.0000 C
2.0801 0.0000 0.0000 Cu
0.0000 0.0000 2.0801 Cu
0.0000 2.0801 0.0000 Cu
2.0801 2.0801 2.0801 I
```

Fermi-level density of states: 3.41 states/eV/cell
Offset from the most stable computed form: 0.000 eV/atom
Symmetry: Pm-3m (221)

=====

Copy entry 1 word for word.
The following is a PBE calculation of a relaxed structure of Cu3CI, from the Alexandria database.

The structure in POSCAR format:
```
Cu3CI
1.0
-0.6889 -4.4067 -2.1045
2.8850 1.3476 -3.7661
3.9402 -1.7572 2.3896
Cu C I
3 1 1
Cartesian
1.4425 0.6738 -1.8830 Cu
1.9701 -0.8786 1.1948 Cu
-0.3444 -2.2033 -1.0523 Cu
3.0681 -2.4081 -1.7405 C
0.0000 0.0000 0.0000 I
```

Fermi-level density of states: 1.65 states/eV/cell
Offset from the most stable computed form: 1.463 eV/atom
Symmetry: Pm-3m (221)